Ga2NiPO6: optimized geometry, GGA+U.

Results
The space group is C2/c. Its total energy is -6.042 eV per atom.

a b c (Å): 5.3879 7.1852 7.1852
angles (deg): 102.49 74.20 74.20
With the nearest neighbours (Å) after each atom.
Atoms (fractional coordinates):
O (0.0019, 0.6917, 0.5625)  2 Ga 1.86
O (0.6805, 0.7795, 0.9880)  1 P 1.58
O (0.3195, 0.2205, 0.0120)  1 P 1.58
O (0.5019, 0.5625, 0.6917)  2 Ga 1.86
O (0.9981, 0.3083, 0.4375)  2 Ga 1.86
O (0.8195, 0.0120, 0.2205)  1 P 1.58
O (0.9867, 0.3606, 0.8387)  1 P 1.53
O (0.0133, 0.6394, 0.1613)  1 P 1.53
O (0.4867, 0.8387, 0.3606)  1 P 1.53
O (0.4981, 0.4375, 0.3083)  2 Ga 1.86
O (0.1805, 0.9880, 0.7795)  1 P 1.58
O (0.5133, 0.1613, 0.6394)  1 P 1.53
Ga (0.8391, 0.5521, 0.7178)  4 O 1.86-2.03
Ga (0.6609, 0.2822, 0.4479)  4 O 1.86-2.03
Ga (0.1609, 0.4479, 0.2822)  4 O 1.86-2.03
Ga (0.3391, 0.7178, 0.5521)  4 O 1.86-2.03
P (0.7500, 0.8108, 0.1892)  4 O 1.53-1.58
P (0.2500, 0.1892, 0.8108)  4 O 1.53-1.58
Ni (0.7500, 0.0885, 0.9115)  2 O 2.10
Ni (0.2500, 0.9115, 0.0885)  2 O 2.10